Model i:
DFT (PBE) results for a relaxed structure of UAl20Cr2.

Values from the calculation:
N(E_F) = 16.5 states/eV/f.u.
space group = Fd-3m, No. 227
crystal system = cubic

Cell lengths 10.1583, 10.1583, 10.1583 Å; angles 60.00, 60.00, 60.00 degrees
Last column: nearest neighbours and their distance in Å.
Atoms (fractional coordinates):
Al (0.2073, 0.6749, 0.6749)  8 Al 2.68-2.90, 1 Cr 2.78
Al (0.0000, 0.0000, 0.0000)  12 Al 3.07, 2 U 3.11
Al (0.7611, 0.4889, 0.7611)  2 Cr 2.54, 10 Al 2.71-2.82
Al (0.9430, 0.6749, 0.2073)  8 Al 2.68-2.90, 1 Cr 2.78
Al (0.6749, 0.6749, 0.9430)  8 Al 2.68-2.90, 1 Cr 2.78
Al (0.0570, 0.3251, 0.7927)  8 Al 2.68-2.90, 1 Cr 2.78
Al (0.5111, 0.2389, 0.5111)  2 Cr 2.54, 10 Al 2.71-2.82
Al (0.7927, 0.3251, 0.0570)  8 Al 2.68-2.90, 1 Cr 2.78
Al (0.6749, 0.2073, 0.6749)  8 Al 2.68-2.90, 1 Cr 2.78
Al (0.6749, 0.9430, 0.2073)  8 Al 2.68-2.90, 1 Cr 2.78
Al (0.0570, 0.3251, 0.3251)  8 Al 2.68-2.90, 1 Cr 2.78
Al (0.7611, 0.7611, 0.4889)  2 Cr 2.54, 10 Al 2.71-2.82
Al (0.2389, 0.5111, 0.5111)  2 Cr 2.54, 10 Al 2.71-2.82
Al (0.5111, 0.2389, 0.2389)  2 Cr 2.54, 10 Al 2.71-2.82
Al (0.7927, 0.0570, 0.3251)  8 Al 2.68-2.90, 1 Cr 2.78
Al (0.4889, 0.7611, 0.7611)  2 Cr 2.54, 10 Al 2.71-2.82
Al (0.6749, 0.2073, 0.9430)  8 Al 2.68-2.90, 1 Cr 2.78
Al (0.7611, 0.4889, 0.4889)  2 Cr 2.54, 10 Al 2.71-2.82
Al (0.2389, 0.2389, 0.5111)  2 Cr 2.54, 10 Al 2.71-2.82
Al (0.0000, 0.0000, 0.5000)  12 Al 3.07, 2 U 3.11
Al (0.3251, 0.3251, 0.0570)  8 Al 2.68-2.90, 1 Cr 2.78
Al (0.3251, 0.7927, 0.3251)  8 Al 2.68-2.90, 1 Cr 2.78
Al (0.5000, 0.0000, 0.0000)  12 Al 3.07, 2 U 3.11
Al (0.2073, 0.9430, 0.6749)  8 Al 2.68-2.90, 1 Cr 2.78
Al (0.6749, 0.9430, 0.6749)  8 Al 2.68-2.90, 1 Cr 2.78
Al (0.9430, 0.2073, 0.6749)  8 Al 2.68-2.90, 1 Cr 2.78
Al (0.0570, 0.7927, 0.3251)  8 Al 2.68-2.90, 1 Cr 2.78
Al (0.4889, 0.4889, 0.7611)  2 Cr 2.54, 10 Al 2.71-2.82
Al (0.4889, 0.7611, 0.4889)  2 Cr 2.54, 10 Al 2.71-2.82
Al (0.7927, 0.3251, 0.3251)  8 Al 2.68-2.90, 1 Cr 2.78
Al (0.6749, 0.6749, 0.2073)  8 Al 2.68-2.90, 1 Cr 2.78
Al (0.9430, 0.6749, 0.6749)  8 Al 2.68-2.90, 1 Cr 2.78
Al (0.3251, 0.0570, 0.3251)  8 Al 2.68-2.90, 1 Cr 2.78
Al (0.2389, 0.5111, 0.2389)  2 Cr 2.54, 10 Al 2.71-2.82
Al (0.3251, 0.0570, 0.7927)  8 Al 2.68-2.90, 1 Cr 2.78
Al (0.3251, 0.3251, 0.7927)  8 Al 2.68-2.90, 1 Cr 2.78
Al (0.0000, 0.5000, 0.0000)  12 Al 3.07, 2 U 3.11
Al (0.3251, 0.7927, 0.0570)  8 Al 2.68-2.90, 1 Cr 2.78
Al (0.2073, 0.6749, 0.9430)  8 Al 2.68-2.90, 1 Cr 2.78
Al (0.5111, 0.5111, 0.2389)  2 Cr 2.54, 10 Al 2.71-2.82
U (0.1250, 0.1250, 0.1250)  16 Al 3.11-3.17
U (0.8750, 0.8750, 0.8750)  16 Al 3.11-3.17
Cr (0.5000, 0.5000, 0.5000)  12 Al 2.54-2.78
Cr (0.5000, 0.0000, 0.5000)  12 Al 2.54-2.78
Cr (0.5000, 0.5000, 0.0000)  12 Al 2.54-2.78
Cr (0.0000, 0.5000, 0.5000)  12 Al 2.54-2.78



Model ii:
DFT (PBE) results for a relaxed structure of UAl20Cr2.

Values from the calculation:
N(E_F) = 14.2 states/eV/f.u.
space group = Fd-3m, No. 227
crystal system = cubic

Cell lengths 10.3361, 10.3361, 10.3361 Å; angles 60.00, 60.00, 60.00 degrees
Last column: nearest neighbours and their distance in Å.
Atoms (fractional coordinates):
Al (0.4462, 0.4462, 0.1815)  7 Al 2.64-2.92
Al (0.3240, 0.8038, 0.0685)  7 Al 2.64-2.92
Al (0.8038, 0.3240, 0.0685)  7 Al 2.64-2.92
Al (0.9260, 0.4462, 0.1815)  7 Al 2.64-2.92
Al (0.3634, 0.6366, 0.6366)  8 Al 2.59-2.82
Al (0.6366, 0.3634, 0.3634)  8 Al 2.59-2.82
Al (0.6366, 0.6366, 0.3634)  8 Al 2.59-2.82
Al (0.0685, 0.3240, 0.8038)  7 Al 2.64-2.92
Al (0.0685, 0.8038, 0.3240)  7 Al 2.64-2.92
Al (0.3634, 0.6366, 0.3634)  8 Al 2.59-2.82
Al (0.4462, 0.9260, 0.1815)  7 Al 2.64-2.92
Al (0.3240, 0.8038, 0.8038)  7 Al 2.64-2.92
Al (0.8038, 0.0685, 0.3240)  7 Al 2.64-2.92
Al (0.4462, 0.1815, 0.4462)  7 Al 2.64-2.92
Al (0.4462, 0.1815, 0.9260)  7 Al 2.64-2.92
Al (0.8038, 0.0685, 0.8038)  7 Al 2.64-2.92
Al (0.6250, 0.1250, 0.6250)  6 Al 2.59
Al (0.3634, 0.3634, 0.6366)  8 Al 2.59-2.82
Al (0.6134, 0.8866, 0.6134)  8 Al 2.59-2.82
Al (0.1815, 0.9260, 0.4462)  7 Al 2.64-2.92
Al (0.8866, 0.8866, 0.6134)  8 Al 2.59-2.82
Al (0.4462, 0.9260, 0.4462)  7 Al 2.64-2.92
Al (0.9260, 0.1815, 0.4462)  7 Al 2.64-2.92
Al (0.8866, 0.6134, 0.8866)  8 Al 2.59-2.82
Al (0.8866, 0.6134, 0.6134)  8 Al 2.59-2.82
Al (0.3240, 0.0685, 0.8038)  7 Al 2.64-2.92
Al (0.8038, 0.8038, 0.3240)  7 Al 2.64-2.92
Al (0.1250, 0.6250, 0.6250)  6 Al 2.59
Al (0.6134, 0.8866, 0.8866)  8 Al 2.59-2.82
Al (0.6250, 0.6250, 0.1250)  6 Al 2.59
Al (0.4462, 0.4462, 0.9260)  7 Al 2.64-2.92
Al (0.1815, 0.4462, 0.4462)  7 Al 2.64-2.92
Al (0.9260, 0.4462, 0.4462)  7 Al 2.64-2.92
Al (0.6134, 0.6134, 0.8866)  8 Al 2.59-2.82
Al (0.8038, 0.8038, 0.0685)  7 Al 2.64-2.92
Al (0.6366, 0.3634, 0.6366)  8 Al 2.59-2.82
Al (0.8038, 0.3240, 0.8038)  7 Al 2.64-2.92
Al (0.0685, 0.8038, 0.8038)  7 Al 2.64-2.92
Al (0.1815, 0.4462, 0.9260)  7 Al 2.64-2.92
Al (0.6250, 0.6250, 0.6250)  6 Al 2.59
U (0.0000, 0.0000, 0.0000)  12 Al 3.16, 4 Cr 3.16
U (0.2500, 0.2500, 0.2500)  12 Al 3.16, 4 Cr 3.16
Cr (0.1250, 0.6250, 0.1250)  12 Al 3.08, 2 U 3.16
Cr (0.6250, 0.1250, 0.1250)  12 Al 3.08, 2 U 3.16
Cr (0.1250, 0.1250, 0.1250)  12 Al 3.08, 2 U 3.16
Cr (0.1250, 0.1250, 0.6250)  12 Al 3.08, 2 U 3.16



Relative to the most stable structure, the computed energies are model i 0.000; model ii 0.225, all in eV/atom.



Model i:
DFT (PBE) results for a relaxed structure of Al2VCr.

Values from the calculation:
N(E_F) = 4.3 states/eV/f.u.
space group = I-42d, No. 122
crystal system = tetragonal

Cell lengths 6.7973, 6.7973, 5.4643 Å; angles 51.54, 51.54, 90.00 degrees
Last column: nearest neighbours and their distance in Å.
Atoms (fractional coordinates):
Cr (0.7500, 0.2500, 0.5000)  4 Al 2.45, 2 V 2.60
Cr (0.0000, 0.0000, 0.0000)  4 Al 2.45, 2 V 2.60
Al (0.6335, 0.1250, 0.2500)  2 Cr 2.45, 2 V 2.53, 2 Al 2.60
Al (0.1165, 0.6250, 0.2500)  2 Cr 2.45, 2 V 2.53, 2 Al 2.60
Al (0.8750, 0.8835, 0.7500)  2 Cr 2.45, 2 V 2.53, 2 Al 2.60
Al (0.3750, 0.3665, 0.7500)  2 Cr 2.45, 2 V 2.53, 2 Al 2.60
V (0.2500, 0.7500, 0.5000)  4 Al 2.53, 2 Cr 2.60
V (0.5000, 0.5000, 0.0000)  4 Al 2.53, 2 Cr 2.60



Model ii:
DFT (PBE) results for a relaxed structure of Al2VCr.

Values from the calculation:
N(E_F) = 5.1 states/eV/f.u.
space group = R-3m, No. 166
crystal system = trigonal

Cell lengths 2.6865, 2.6865, 9.4814 Å; angles 81.86, 81.86, 60.00 degrees
Last column: nearest neighbours and their distance in Å.
Atoms (fractional coordinates):
V (0.0000, 0.0000, 0.0000)  2 Al 2.58, 6 V 2.69
Al (0.0920, 0.0920, 0.7240)  1 V 2.58, 3 Cr 2.61, 6 Al 2.69
Al (0.9080, 0.9080, 0.2760)  1 V 2.58, 3 Cr 2.61, 6 Al 2.69
Cr (0.5000, 0.5000, 0.5000)  6 Al 2.61, 6 Cr 2.69



Model iii:
DFT (PBE) results for a relaxed structure of Al2VCr.

Values from the calculation:
N(E_F) = 4.7 states/eV/f.u.
space group = P4/mmm, No. 123
crystal system = tetragonal

Cell lengths 2.6398, 2.6398, 7.8960 Å; angles 90.00, 90.00, 90.00 degrees
Last column: nearest neighbours and their distance in Å.
Atoms (fractional coordinates):
V (0.5000, 0.5000, 0.5000)  4 V 2.64, 8 Al 2.75
Al (0.0000, 0.0000, 0.2442)  4 Al 2.64, 4 Cr 2.68, 4 V 2.75
Al (0.0000, 0.0000, 0.7558)  4 Al 2.64, 4 Cr 2.68, 4 V 2.75
Cr (0.5000, 0.5000, 0.0000)  4 Cr 2.64, 8 Al 2.68



Model iv:
DFT (PBE) results for a relaxed structure of Al2VCr.

Values from the calculation:
N(E_F) = 3.4 states/eV/f.u.
space group = P4/mmm, No. 123
crystal system = tetragonal

Cell lengths 3.9911, 3.7479, 3.7479 Å; angles 90.00, 90.00, 90.00 degrees
Last column: nearest neighbours and their distance in Å.
Atoms (fractional coordinates):
V (0.5000, 0.0000, 0.0000)  4 Cr 2.65, 8 Al 2.74
Cr (0.5000, 0.5000, 0.5000)  4 V 2.65, 8 Al 2.74
Al (0.0000, 0.5000, 0.0000)  4 Al 2.65, 4 Cr 2.74, 4 V 2.74
Al (0.0000, 0.0000, 0.5000)  4 Al 2.65, 4 Cr 2.74, 4 V 2.74



Relative to the most stable structure, the computed energies are model i 0.540; model ii 0.450; model iii 0.040; model iv 0.000, all in eV/atom.



Model i:
DFT (PBE) results for a relaxed structure of AlVCr3.

Values from the calculation:
N(E_F) = 4.0 states/eV/f.u.
space group = Cm, No. 8
crystal system = monoclinic

Cell lengths 2.9231, 4.8484, 4.8452 Å; angles 84.15, 72.51, 72.48 degrees
Last column: nearest neighbours and their distance in Å.
Atoms (fractional coordinates):
Cr (0.6374, 0.5311, 0.2120)  4 Cr 2.42-2.44, 2 V 2.54, 2 Al 2.62
Cr (0.4042, 0.3888, 0.8206)  4 Cr 2.42-2.51, 2 V 2.49, 2 Al 2.61
Cr (0.2035, 0.1718, 0.4388)  4 Cr 2.44-2.51, 2 V 2.48, 2 Al 2.60-2.61
V (0.8297, 0.7644, 0.5943)  6 Cr 2.48-2.54, 2 Al 2.64
Al (0.0147, 0.9650, 0.0237)  9 Cr 2.60-2.86, 3 V 2.64-2.78



Model ii:
DFT (PBE) results for a relaxed structure of AlVCr3.

Values from the calculation:
N(E_F) = 7.5 states/eV/f.u.
space group = Pm-3m, No. 221
crystal system = cubic

Cell lengths 4.2655, 4.2655, 4.2655 Å; angles 90.00, 90.00, 90.00 degrees
Last column: nearest neighbours and their distance in Å.
Atoms (fractional coordinates):
Cr (0.0000, 0.0000, 0.5000)  2 V 2.13
Cr (0.0000, 0.5000, 0.0000)  2 V 2.13
Cr (0.5000, 0.0000, 0.0000)  2 V 2.13
V (0.0000, 0.0000, 0.0000)  6 Cr 2.13
Al (0.5000, 0.5000, 0.5000)  12 Cr 3.02



Model iii:
DFT (PBE) results for a relaxed structure of AlVCr3.

Values from the calculation:
N(E_F) = 6.9 states/eV/f.u.
space group = Pm-3m, No. 221
crystal system = cubic

Cell lengths 4.4967, 4.4967, 4.4967 Å; angles 90.00, 90.00, 90.00 degrees
Last column: nearest neighbours and their distance in Å.
Atoms (fractional coordinates):
V (0.5000, 0.5000, 0.5000)  12 Cr 3.18
Cr (0.0000, 0.5000, 0.0000)  2 Al 2.25
Cr (0.0000, 0.0000, 0.5000)  2 Al 2.25
Cr (0.5000, 0.0000, 0.0000)  2 Al 2.25
Al (0.0000, 0.0000, 0.0000)  6 Cr 2.25



Relative to the most stable structure, the computed energies are model i 0.000; model ii 1.232; model iii 1.565, all in eV/atom.



Model i:
DFT (PBE) results for a relaxed structure of Al2V3Cr.

Values from the calculation:
N(E_F) = 4.5 states/eV/f.u.
space group = Pnma, No. 62
crystal system = orthorhombic

Cell lengths 4.3647, 4.9797, 15.3463 Å; angles 90.00, 90.00, 90.00 degrees
Last column: nearest neighbours and their distance in Å.
Atoms (fractional coordinates):
V (0.2500, 0.3414, 0.5194)  1 V 2.40, 3 Cr 2.49-2.61, 1 Al 2.68
V (0.2500, 0.8414, 0.9806)  1 V 2.40, 3 Cr 2.49-2.61, 1 Al 2.68
V (0.7500, 0.4656, 0.7878)  1 Cr 2.36, 2 V 2.43-2.57
V (0.2500, 0.0344, 0.2878)  1 Cr 2.36, 2 V 2.43-2.57
V (0.7500, 0.0151, 0.8698)  1 Cr 2.36, 3 V 2.40-2.57
V (0.2500, 0.4849, 0.3698)  1 Cr 2.36, 3 V 2.40-2.57
V (0.7500, 0.9656, 0.7122)  1 Cr 2.36, 2 V 2.43-2.57
V (0.2500, 0.9849, 0.1302)  1 Cr 2.36, 3 V 2.40-2.57
V (0.7500, 0.5151, 0.6302)  1 Cr 2.36, 3 V 2.40-2.57
V (0.2500, 0.5344, 0.2122)  1 Cr 2.36, 2 V 2.43-2.57
V (0.7500, 0.6586, 0.4806)  1 V 2.40, 3 Cr 2.49-2.61, 1 Al 2.68
V (0.7500, 0.1586, 0.0194)  1 V 2.40, 3 Cr 2.49-2.61, 1 Al 2.68
Cr (0.7500, 0.5877, 0.9363)  5 V 2.36-2.61, 3 Al 2.57-2.63
Cr (0.7500, 0.0877, 0.5637)  5 V 2.36-2.61, 3 Al 2.57-2.63
Cr (0.2500, 0.9123, 0.4363)  5 V 2.36-2.61, 3 Al 2.57-2.63
Cr (0.2500, 0.4123, 0.0637)  5 V 2.36-2.61, 3 Al 2.57-2.63
Al (0.7500, 0.7179, 0.3001)  7 V 2.69-2.79, 3 Al 2.76-2.93
Al (0.2500, 0.3179, 0.8988)  3 Cr 2.57-2.63, 5 V 2.68-2.86, 1 Al 2.76
Al (0.2500, 0.2821, 0.6999)  7 V 2.69-2.79, 3 Al 2.76-2.93
Al (0.2500, 0.7821, 0.8001)  7 V 2.69-2.79, 3 Al 2.76-2.93
Al (0.7500, 0.2179, 0.1999)  7 V 2.69-2.79, 3 Al 2.76-2.93
Al (0.2500, 0.8179, 0.6012)  3 Cr 2.57-2.63, 5 V 2.68-2.86, 1 Al 2.76
Al (0.7500, 0.1821, 0.3988)  3 Cr 2.57-2.63, 5 V 2.68-2.86, 1 Al 2.76
Al (0.7500, 0.6821, 0.1012)  3 Cr 2.57-2.63, 5 V 2.68-2.86, 1 Al 2.76



Model ii:
DFT (PBE) results for a relaxed structure of Al2V3Cr.

Values from the calculation:
N(E_F) = 5.8 states/eV/f.u.
space group = P2/m, No. 10
crystal system = monoclinic

Cell lengths 4.1672, 5.1052, 9.3907 Å; angles 79.61, 63.68, 66.00 degrees
Last column: nearest neighbours and their distance in Å.
Atoms (fractional coordinates):
Al (0.5000, 0.0000, 0.5000)  4 Al 2.58, 4 V 2.66
Al (0.0000, 0.0000, 0.0000)  8 V 2.63-2.85, 4 Cr 2.67-2.68
Al (0.8373, 0.3256, 0.5000)  4 Al 2.58-2.65, 4 V 2.63-2.72
Al (0.1627, 0.6744, 0.5000)  4 Al 2.58-2.65, 4 V 2.63-2.72
V (0.2691, 0.0000, 0.2313)  2 Cr 2.57, 4 V 2.63, 4 Al 2.72-2.85
V (0.5818, 0.3426, 0.2476)  1 Cr 2.50, 4 V 2.54-2.63, 3 Al 2.63-2.66
V (0.4182, 0.6574, 0.7524)  1 Cr 2.50, 4 V 2.54-2.63, 3 Al 2.63-2.66
V (0.9237, 0.6574, 0.2475)  1 Cr 2.50, 4 V 2.54-2.63, 3 Al 2.63-2.66
V (0.0763, 0.3426, 0.7525)  1 Cr 2.50, 4 V 2.54-2.63, 3 Al 2.63-2.66
V (0.7309, 0.0000, 0.7687)  2 Cr 2.57, 4 V 2.63, 4 Al 2.72-2.85
Cr (0.6796, 0.6402, 0.0000)  2 Cr 2.46, 4 V 2.50-2.57, 2 Al 2.67-2.68
Cr (0.3204, 0.3598, 0.0000)  2 Cr 2.46, 4 V 2.50-2.57, 2 Al 2.67-2.68



Relative to the most stable structure, the computed energies are model i 0.075; model ii 0.000, all in eV/atom.